[1]
{"formula": "SmYNpO6", "functional": "PBE-GGA", "state": "relaxed", "lattice_angstrom": [[-4.0051, -1.1009, 4.0069], [3.5582, -4.1927, -1.7518], [6.2514, 2.4170, 6.9127]], "species": ["O", "O", "O", "O", "Np", "O", "Sm", "O", "O", "O", "Y", "O", "Sm", "Y", "O", "O", "Np", "O"], "fractional_positions": [[0.6384, 0.6647, 0.6355], [0.3616, 0.3353, 0.3645], [0.0263, 0.6647, 0.8645], [0.3616, 0.0263, 0.1355], [0.6667, 0.3333, 0.2500], [0.9737, 0.3353, 0.1355], [0.0000, 0.0000, 0.0000], [0.3353, 0.3616, 0.8645], [0.6647, 0.0263, 0.3645], [0.6384, 0.9737, 0.8645], [0.6667, 0.3333, 0.7500], [0.9737, 0.6384, 0.3645], [0.0000, 0.0000, 0.5000], [0.3333, 0.6667, 0.2500], [0.0263, 0.3616, 0.6355], [0.6647, 0.6384, 0.1355], [0.3333, 0.6667, 0.7500], [0.3353, 0.9737, 0.6355]]}


[2]
{"formula": "Sm2YNpO8", "functional": "PBE-GGA", "state": "relaxed", "lattice_angstrom": [[-3.0114, 1.8200, -1.7026], [1.1368, -3.0967, -4.3858], [-4.6659, -5.3300, 2.5548]], "species": ["O", "O", "O", "Sm", "O", "Y", "O", "Sm", "O", "O", "O", "Np"], "fractional_positions": [[0.5491, 0.7804, 0.0000], [0.0306, 0.7680, 0.2211], [0.5041, 0.7517, 0.5000], [0.5000, 0.5000, 0.7416], [0.0306, 0.7681, 0.7789], [0.0000, 0.0000, 0.5000], [0.4959, 0.2483, 0.5000], [0.5000, 0.5000, 0.2584], [0.4509, 0.2196, 0.0000], [0.9694, 0.2320, 0.7789], [0.9694, 0.2319, 0.2211], [0.0000, 0.0000, 0.0000]]}


[3]
{"formula": "Np2SnO8", "functional": "PBE-GGA", "state": "relaxed", "lattice_angstrom": [[4.2525, 0.0002, 0.0003], [-0.0007, 5.7128, -3.2992], [0.0009, -0.0050, 6.5936]], "species": ["O", "O", "Sn", "Np", "O", "O", "O", "O", "O", "O", "Np"], "fractional_positions": [[0.7547, 0.8408, 0.6806], [0.7620, 0.3333, 0.6670], [0.0000, 0.0000, 0.0000], [0.7529, 0.6667, 0.3331], [0.2380, 0.6667, 0.3330], [0.7547, 0.3193, 0.1604], [0.7547, 0.8399, 0.1591], [0.2453, 0.1601, 0.8408], [0.2453, 0.1592, 0.3194], [0.2453, 0.6807, 0.8396], [0.2471, 0.3333, 0.6669]]}


[4]
{"formula": "Np2SnO", "functional": "PBE-GGA", "state": "relaxed", "lattice_angstrom": [[-2.9198, -0.7423, 1.8209], [-1.5057, -3.1674, -0.3030], [2.8894, -3.9445, 6.4278]], "species": ["Np", "Np", "Sn", "O"], "fractional_positions": [[0.2761, 0.2761, 0.1718], [0.7239, 0.7239, 0.8282], [0.5000, 0.5000, 0.5000], [0.0000, 0.0000, 0.0000]]}


[5]
{"formula": "NpSnO5", "functional": "PBE-GGA", "state": "relaxed", "lattice_angstrom": [[3.6028, 0.0002, 1.3201], [1.4693, 5.1665, 1.5659], [-0.0063, 0.1177, 5.5937]], "species": ["O", "O", "O", "O", "Sn", "Np", "O"], "fractional_positions": [[0.2713, 0.7287, 0.7287], [0.0000, 0.3121, 0.6879], [0.7287, 0.2713, 0.2713], [0.5000, 0.0000, 0.0000], [0.0000, 0.0000, 0.0000], [0.5000, 0.5000, 0.5000], [0.0000, 0.6879, 0.3121]]}


[6]
{"formula": "Np3Sn5O12", "functional": "PBE-GGA", "state": "relaxed", "lattice_angstrom": [[-11.0201, 3.2644, -2.0151], [1.0896, -3.3602, 11.1212], [7.1571, 8.9808, -2.0688]], "species": ["O", "Sn", "Sn", "Np", "O", "O", "Sn", "O", "O", "O", "O", "O", "O", "O", "O", "Sn", "Sn", "Sn", "Np", "O", "Np", "O", "Sn", "O", "O", "O", "O", "Sn", "O", "Sn", "Sn", "O", "O", "Sn", "O", "O", "Sn", "Sn", "Sn", "Sn", "Np", "Np", "Sn", "O", "O", "O", "O", "Np", "O", "O", "O", "O", "O", "O", "O", "Np", "O", "O", "Np", "O", "Np", "O", "O", "O", "O", "O", "O", "O", "Np", "O", "O", "Sn", "Np", "O", "O", "Np", "O", "Sn", "Sn", "Sn"], "fractional_positions": [[0.3372, 0.7861, 0.4071], [0.0000, 0.5000, 0.5000], [0.5000, 0.5000, 0.0000], [0.2500, 0.1250, 0.3750], [0.4071, 0.2861, 0.3372], [0.0511, 0.6209, 0.7139], [0.5000, 0.0000, 0.5000], [0.5929, 0.7139, 0.6628], [0.5929, 0.8791, 0.4301], [0.8791, 0.2861, 0.4489], [0.4489, 0.7861, 0.8791], [0.4489, 0.6628, 0.0699], [0.8372, 0.9071, 0.2861], [0.1209, 0.4071, 0.0699], [0.0511, 0.4301, 0.8372], [0.7500, 0.1250, 0.8750], [0.5000, 0.0000, 0.0000], [0.2500, 0.3750, 0.6250], [0.7500, 0.3750, 0.1250], [0.4071, 0.1209, 0.5699], [0.1250, 0.8750, 0.7500], [0.8791, 0.5929, 0.9301], [0.1250, 0.3750, 0.2500], [0.0929, 0.9301, 0.3791], [0.5511, 0.2139, 0.1209], [0.3372, 0.5511, 0.4301], [0.3791, 0.9489, 0.7861], [0.6250, 0.8750, 0.2500], [0.9301, 0.0929, 0.8791], [0.0000, 0.0000, 0.0000], [0.3750, 0.2500, 0.1250], [0.2861, 0.8791, 0.9489], [0.0699, 0.1628, 0.4489], [0.7500, 0.6250, 0.3750], [0.4301, 0.0511, 0.3372], [0.1209, 0.7139, 0.5511], [0.8750, 0.2500, 0.6250], [0.5000, 0.5000, 0.5000], [0.0000, 0.0000, 0.5000], [0.6250, 0.7500, 0.8750], [0.3750, 0.7500, 0.6250], [0.8750, 0.1250, 0.2500], [0.1250, 0.7500, 0.3750], [0.6209, 0.0511, 0.2139], [0.5511, 0.3372, 0.9301], [0.1628, 0.0929, 0.7139], [0.9071, 0.8372, 0.7861], [0.8750, 0.7500, 0.1250], [0.7861, 0.4489, 0.3791], [0.7139, 0.5929, 0.1628], [0.5699, 0.6209, 0.4071], [0.4301, 0.3791, 0.5929], [0.9489, 0.5699, 0.1628], [0.6209, 0.5699, 0.9071], [0.6628, 0.2139, 0.5929], [0.1250, 0.2500, 0.8750], [0.7139, 0.1209, 0.0511], [0.7861, 0.3372, 0.9071], [0.3750, 0.6250, 0.2500], [0.5699, 0.9489, 0.6628], [0.7500, 0.8750, 0.6250], [0.0699, 0.9071, 0.1209], [0.1628, 0.0699, 0.9489], [0.9071, 0.0699, 0.6209], [0.2139, 0.6628, 0.0929], [0.9301, 0.8372, 0.5511], [0.0929, 0.1628, 0.2139], [0.9489, 0.3791, 0.2861], [0.6250, 0.2500, 0.3750], [0.2861, 0.4071, 0.8372], [0.6628, 0.4489, 0.5699], [0.8750, 0.6250, 0.7500], [0.6250, 0.3750, 0.7500], [0.3791, 0.4301, 0.0929], [0.8372, 0.9301, 0.0511], [0.2500, 0.6250, 0.8750], [0.2139, 0.5511, 0.6209], [0.2500, 0.8750, 0.1250], [0.0000, 0.5000, 0.0000], [0.3750, 0.1250, 0.7500]]}


[7]
{"formula": "NpSnO3", "functional": "PBE-GGA", "state": "relaxed", "lattice_angstrom": [[4.1558, 0.0000, 0.0000], [0.0000, 4.1558, 0.0000], [0.0000, 0.0000, 4.1558]], "species": ["Sn", "O", "O", "Np", "O"], "fractional_positions": [[0.5000, 0.5000, 0.5000], [0.5000, 0.0000, 0.5000], [0.5000, 0.5000, 0.0000], [0.0000, 0.0000, 0.0000], [0.0000, 0.5000, 0.5000]]}


[8]
{"formula": "Np2SnO11", "functional": "PBE-GGA", "state": "relaxed", "lattice_angstrom": [[-3.7457, -2.2199, 6.7589], [3.8431, -0.7079, 6.6792], [-2.7607, 7.3287, 5.6590]], "species": ["Np", "O", "O", "O", "O", "O", "O", "Np", "O", "O", "O", "O", "O", "O", "Np", "Sn", "O", "O", "O", "O", "O", "O", "O", "O", "O", "Sn", "O", "Np"], "fractional_positions": [[0.7043, 0.7795, 0.1739], [0.0624, 0.5268, 0.7950], [0.7455, 0.8207, 0.9626], [0.4528, 0.7014, 0.1775], [0.9452, 0.7653, 0.4768], [0.7214, 0.2397, 0.8758], [0.3205, 0.5776, 0.4975], [0.1858, 0.7388, 0.3062], [0.7599, 0.5584, 0.7066], [0.9712, 0.3206, 0.4626], [0.4751, 0.0584, 0.2067], [0.6631, 0.7397, 0.3758], [0.0521, 0.9369, 0.9925], [0.1683, 0.2014, 0.6775], [0.8423, 0.2795, 0.6739], [0.1751, 0.2739, 0.2255], [0.9256, 0.4892, 0.1581], [0.5227, 0.9783, 0.7542], [0.1158, 0.0268, 0.2950], [0.3128, 0.2653, 0.9768], [0.9272, 0.9892, 0.6581], [0.5186, 0.4369, 0.4925], [0.5210, 0.3634, 0.6479], [0.2447, 0.4783, 0.2542], [0.1045, 0.0776, 0.9974], [0.8255, 0.7739, 0.7255], [0.9677, 0.8634, 0.1479], [0.2692, 0.2388, 0.8062]]}


| no. | E_form (uncorrected) (eV per atom) |
| --- | --- |
| 1 | -3.185 |
| 2 | -3.150 |
| 3 | -2.068 |
| 4 | -0.952 |
| 5 | -2.120 |
| 6 | -1.704 |
| 7 | -1.547 |
| 8 | -1.729 |